Entry 1:
12
Lattice="8.900 0.000 0.000 0.000 4.492 0.000 -3.020 0.000 9.987" Properties=species:S:1:pos:R:3 comment="PBE-GGA Ac3GeSeCl, optimized geometry" magnetic_moment_mub_per_fu=1.53 e_form_raw_ev_per_atom=-1.333 total_energy_ev_per_atom=-5.0450 space_group="P2_1/m (11)" vol_a3_per_atom=33.271 pbc="T T T"
Ac -0.418 1.123 3.698
Ac -0.546 3.369 9.897
Ac 1.700 3.369 6.577
Ac 4.180 1.123 3.410
Ac 6.426 1.123 0.090
Ac 6.298 3.369 6.289
Ge -0.451 1.123 7.336
Ge 6.331 3.369 2.651
Se 1.930 3.369 3.454
Se 3.950 1.123 6.533
Cl 0.683 1.123 0.916
Cl 5.197 3.369 9.070

Entry 2:
6
Lattice="0.000 4.693 4.693 4.693 0.000 4.693 4.693 4.693 0.000" Properties=species:S:1:pos:R:3 comment="PBE-GGA SrAcPb4, optimized geometry" magnetic_moment_mub_per_fu=0.00 total_energy_ev_per_atom=-3.7738 polymorph_energy_ev_per_atom=0.063 e_form_kj_per_mol_atoms=-32.5 space_group="F-43m (216)" vol_a3_per_atom=34.455 pbc="T T T"
Sr 0.000 0.000 0.000
Ac 7.040 7.040 7.040
Pb 3.522 3.522 3.522
Pb 5.864 5.864 3.522
Pb 5.864 3.522 5.864
Pb 3.522 5.864 5.864

Entry 3:
18
Lattice="8.351 0.000 0.000 -4.175 7.232 0.000 0.000 0.000 5.712" Properties=species:S:1:pos:R:3 comment="PBE-GGA Li5Mg3Ag, optimized geometry" magnetic_moment_mub_per_fu=0.00 total_energy_ev_per_atom=-1.9589 e_form_kj_per_mol_atoms=-4.6 space_group="P6_3/mcm (193)" vol_a3_per_atom=19.166 pbc="T T T"
Li -1.215 2.104 1.428
Li -2.961 5.128 4.284
Li 2.429 0.000 1.428
Li 1.215 2.104 4.284
Li 0.000 4.821 0.000
Li 0.000 4.821 2.856
Li 4.176 2.411 0.000
Li 4.176 2.411 2.856
Li 5.922 0.000 4.284
Li 2.961 5.128 1.428
Mg -1.519 2.631 4.284
Mg -2.657 4.602 1.428
Mg 3.038 0.000 4.284
Mg 1.519 2.631 1.428
Mg 5.313 0.000 1.428
Mg 2.657 4.602 4.284
Ag 0.000 0.000 0.000
Ag 0.000 0.000 2.856

Entry 4:
6
Lattice="-2.253 2.253 9.398 2.253 -2.253 9.398 2.253 2.253 -9.398" Properties=species:S:1:pos:R:3 comment="PBE-GGA Ac3PdSe2, optimized geometry" magnetic_moment_mub_per_fu=0.00 e_form_raw_ev_per_atom=-1.501 total_energy_ev_per_atom=-5.5827 space_group="I4/mmm (139)" vol_a3_per_atom=31.802 pbc="T T T"
Ac 0.000 0.000 0.000
Ac 0.000 0.000 6.312
Ac 0.000 0.000 12.483
Pd 0.000 0.000 9.398
Se 0.000 0.000 3.190
Se 0.000 0.000 15.605

Entry 5:
4
Lattice="5.603 -1.550 0.000 5.603 1.550 0.000 -3.658 0.000 6.163" Properties=species:S:1:pos:R:3 comment="PBE-GGA BSbSe2, optimized geometry" magnetic_moment_mub_per_fu=0.00 e_form_raw_ev_per_atom=0.049 total_energy_ev_per_atom=-4.3928 polymorph_energy_ev_per_atom=0.128 space_group="Cm (8)" vol_a3_per_atom=26.766 pbc="T T T"
B 0.000 0.000 0.000
Sb -1.398 0.000 5.518
Se 4.836 0.000 1.019
Se 7.413 0.000 4.113

Entry 6:
4
Lattice="2.856 -6.221 0.000 2.856 6.221 0.000 0.000 0.000 2.988" Properties=species:S:1:pos:R:3 comment="PBE-GGA K2TaMn, optimized geometry" magnetic_moment_mub_per_fu=2.24 total_energy_ev_per_atom=-4.3967 polymorph_energy_ev_per_atom=0.672 e_form_kj_per_mol_atoms=135.8 space_group="Cmmm (65)" vol_a3_per_atom=26.550 pbc="T T T"
K 1.428 3.110 0.000
K 1.428 -3.110 0.000
Ta 0.000 0.000 1.494
Mn 2.856 0.000 1.494

Entry 7:
6
Lattice="0.000 4.352 4.352 4.352 0.000 4.352 4.352 4.352 0.000" Properties=species:S:1:pos:R:3 comment="PBE-GGA GdTlIn4, optimized geometry" magnetic_moment_mub_per_fu=7.56 total_energy_ev_per_atom=-4.6827 e_form_kj_per_mol_atoms=-11.2 space_group="F-43m (216)" vol_a3_per_atom=27.478 pbc="T T T"
Gd 0.000 0.000 0.000
Tl 2.176 2.176 2.176
In 5.441 3.263 3.263
In 3.263 5.441 3.263
In 3.263 3.263 5.441
In 5.441 5.441 5.441

Entry 8:
5
Lattice="4.662 0.000 0.000 0.000 4.662 0.000 0.000 0.000 4.662" Properties=species:S:1:pos:R:3 comment="PBE-GGA NbIrOs3, optimized geometry" magnetic_moment_mub_per_fu=0.00 total_energy_ev_per_atom=-8.2969 polymorph_energy_ev_per_atom=1.023 e_form_kj_per_mol_atoms=214.9 space_group="Pm-3m (221)" vol_a3_per_atom=20.271 pbc="T T T"
Nb 0.000 0.000 0.000
Ir 2.331 2.331 2.331
Os 0.000 2.331 2.331
Os 2.331 0.000 2.331
Os 2.331 2.331 0.000

Entry 9:
4
Lattice="1.803 1.041 10.634 -1.803 1.041 10.634 0.000 -2.082 10.634" Properties=species:S:1:pos:R:3 comment="PBE-GGA CaMg2Pb, optimized geometry" magnetic_moment_mub_per_fu=0.00 total_energy_ev_per_atom=-2.2013 polymorph_energy_ev_per_atom=0.265 e_form_kj_per_mol_atoms=2.3 space_group="R-3m (166)" vol_a3_per_atom=29.945 pbc="T T T"
Ca 0.000 0.000 0.000
Mg 0.000 0.000 7.857
Mg 0.000 0.000 24.044
Pb 0.000 0.000 15.950

Entry 10:
4
Lattice="-1.689 2.357 5.174 1.689 -2.357 5.174 1.689 2.357 -5.174" Properties=species:S:1:pos:R:3 comment="PBE-GGA SrFe2Se, optimized geometry" magnetic_moment_mub_per_fu=5.69 e_form_raw_ev_per_atom=0.287 total_energy_ev_per_atom=-5.2356 space_group="Immm (71)" vol_a3_per_atom=20.600 pbc="T T T"
Sr 0.000 0.000 0.000
Fe 1.689 0.000 2.901
Fe 0.000 2.357 2.273
Se 0.000 0.000 5.174

Entry 11:
9
Lattice="4.089 0.000 0.000 0.000 4.089 0.000 0.000 0.000 10.258" Properties=species:S:1:pos:R:3 comment="PBE-GGA PmP2Rh5Pb, optimized geometry" magnetic_moment_mub_per_fu=0.00 total_energy_ev_per_atom=-6.8237 e_form_kj_per_mol_atoms=-57.7 space_group="P4/mmm (123)" vol_a3_per_atom=19.058 pbc="T T T"
Pm 0.000 0.000 0.000
P 2.045 2.045 2.256
P 2.045 2.045 8.002
Rh 0.000 2.045 3.226
Rh 0.000 2.045 7.032
Rh 2.045 0.000 3.226
Rh 2.045 0.000 7.032
Rh 2.045 2.045 0.000
Pb 0.000 0.000 5.129

Entry 12:
5
Lattice="4.164 0.000 0.000 0.000 4.164 0.000 0.000 0.000 4.531" Properties=species:S:1:pos:R:3 comment="PBE-GGA LiTeO2F, optimized geometry" magnetic_moment_mub_per_fu=0.00 e_form_raw_ev_per_atom=-1.267 total_energy_ev_per_atom=-4.6359 space_group="P4/mmm (123)" vol_a3_per_atom=15.710 pbc="T T T"
Li 0.000 0.000 0.000
Te 2.082 2.082 2.265
O 0.000 2.082 2.265
O 2.082 0.000 2.265
F 2.082 2.082 0.000

Question: Which formula does entry 11 have?
Answer: PmP2Rh5Pb